*w*
An optimized crystal structure of GaOsN2F, computed with PBE-GGA.

Results
**DOS(E_F)**: 2.06 states/eV per cell
**Space group**: No. 123
**Mass density**: 7.72 g/cm3
**M_tot**: 0.24 μB per cell

Cell and atoms, written as CIF:
```
data_GaOsN2F
_chemical_formula_sum 'Ga1 Os1 N2 F1'
_cell_length_a 3.845
_cell_length_b 3.845
_cell_length_c 4.464
_cell_angle_alpha 90.00
_cell_angle_beta 90.00
_cell_angle_gamma 90.00
_space_group_name_H-M_alt 'P 1'
_space_group_IT_number 1
_space_group_name_Hall 'P 1'
loop_
_atom_site_label
_atom_site_type_symbol
_atom_site_fract_x
_atom_site_fract_y
_atom_site_fract_z
Ga1 Ga 0.000 0.000 0.000
Os1 Os 0.500 0.500 0.500
N1 N 0.000 0.500 0.500
N2 N 0.500 0.000 0.500
F1 F 0.500 0.500 0.000
```

=====

*x*
An optimized crystal structure of GaOsN2F, computed with PBE-GGA.

Results
**DOS(E_F)**: 4.29 states/eV per cell
**Space group**: No. 123
**Mass density**: 8.89 g/cm3
**M_tot**: 2.83 μB per cell

Cell and atoms, written as CIF:
```
data_GaOsN2F
_chemical_formula_sum 'Ga1 Os1 N2 F1'
_cell_length_a 3.953
_cell_length_b 3.953
_cell_length_c 3.668
_cell_angle_alpha 90.00
_cell_angle_beta 90.00
_cell_angle_gamma 90.00
_space_group_name_H-M_alt 'P 1'
_space_group_IT_number 1
_space_group_name_Hall 'P 1'
loop_
_atom_site_label
_atom_site_type_symbol
_atom_site_fract_x
_atom_site_fract_y
_atom_site_fract_z
Ga1 Ga 0.000 0.000 0.000
Os1 Os 0.500 0.500 0.500
N1 N 0.000 0.500 0.000
N2 N 0.500 0.000 0.000
F1 F 0.000 0.000 0.500
```

=====

Most stable: *w*

=====

*w*
An optimized crystal structure of GaOsNF2, computed with PBE-GGA.

Results
**DOS(E_F)**: 2.98 states/eV per cell
**Space group**: No. 123
**Mass density**: 8.53 g/cm3
**M_tot**: 3.49 μB per cell

Cell and atoms, written as CIF:
```
data_GaOsNF2
_chemical_formula_sum 'Ga1 Os1 N1 F2'
_cell_length_a 3.822
_cell_length_b 3.822
_cell_length_c 4.157
_cell_angle_alpha 90.00
_cell_angle_beta 90.00
_cell_angle_gamma 90.00
_space_group_name_H-M_alt 'P 1'
_space_group_IT_number 1
_space_group_name_Hall 'P 1'
loop_
_atom_site_label
_atom_site_type_symbol
_atom_site_fract_x
_atom_site_fract_y
_atom_site_fract_z
Ga1 Ga 0.000 0.000 0.000
Os1 Os 0.500 0.500 0.500
N1 N 0.000 0.000 0.500
F1 F 0.000 0.500 0.000
F2 F 0.500 0.000 0.000
```

=====

*x*
An optimized crystal structure of GaOsNF2, computed with PBE-GGA.

Results
**DOS(E_F)**: 2.47 states/eV per cell
**Space group**: No. 123
**Mass density**: 7.21 g/cm3
**M_tot**: 0.00 μB per cell

Cell and atoms, written as CIF:
```
data_GaOsNF2
_chemical_formula_sum 'Ga1 Os1 N1 F2'
_cell_length_a 4.375
_cell_length_b 4.375
_cell_length_c 3.755
_cell_angle_alpha 90.00
_cell_angle_beta 90.00
_cell_angle_gamma 90.00
_space_group_name_H-M_alt 'P 1'
_space_group_IT_number 1
_space_group_name_Hall 'P 1'
loop_
_atom_site_label
_atom_site_type_symbol
_atom_site_fract_x
_atom_site_fract_y
_atom_site_fract_z
Ga1 Ga 0.000 0.000 0.000
Os1 Os 0.500 0.500 0.500
N1 N 0.500 0.500 0.000
F1 F 0.000 0.500 0.500
F2 F 0.500 0.000 0.500
```

=====

Most stable: *x*

=====

*w*
An optimized crystal structure of GaPbN2F, computed with PBE-GGA.

Results
**DOS(E_F)**: 2.25 states/eV per cell
**Space group**: No. 123
**Mass density**: 6.06 g/cm3
**M_tot**: 2.17 μB per cell

Cell and atoms, written as CIF:
```
data_GaPbN2F
_chemical_formula_sum 'Ga1 Pb1 N2 F1'
_cell_length_a 4.418
_cell_length_b 4.418
_cell_length_c 4.550
_cell_angle_alpha 90.00
_cell_angle_beta 90.00
_cell_angle_gamma 90.00
_space_group_name_H-M_alt 'P 1'
_space_group_IT_number 1
_space_group_name_Hall 'P 1'
loop_
_atom_site_label
_atom_site_type_symbol
_atom_site_fract_x
_atom_site_fract_y
_atom_site_fract_z
Ga1 Ga 0.000 0.000 0.000
Pb1 Pb 0.500 0.500 0.500
N1 N 0.000 0.500 0.500
N2 N 0.500 0.000 0.500
F1 F 0.500 0.500 0.000
```

=====

*x*
An optimized crystal structure of GaPbN2F, computed with PBE-GGA.

Results
**DOS(E_F)**: 2.77 states/eV per cell
**Space group**: No. 123
**Mass density**: 8.08 g/cm3
**M_tot**: 1.43 μB per cell

Cell and atoms, written as CIF:
```
data_GaPbN2F
_chemical_formula_sum 'Ga1 Pb1 N2 F1'
_cell_length_a 3.980
_cell_length_b 3.980
_cell_length_c 4.204
_cell_angle_alpha 90.00
_cell_angle_beta 90.00
_cell_angle_gamma 90.00
_space_group_name_H-M_alt 'P 1'
_space_group_IT_number 1
_space_group_name_Hall 'P 1'
loop_
_atom_site_label
_atom_site_type_symbol
_atom_site_fract_x
_atom_site_fract_y
_atom_site_fract_z
Ga1 Ga 0.000 0.000 0.000
Pb1 Pb 0.500 0.500 0.500
N1 N 0.000 0.500 0.000
N2 N 0.500 0.000 0.000
F1 F 0.000 0.000 0.500
```

=====

Most stable: *x*